Compound: ZnAs3Rh
Source: Alexandria via LeMat-Bulk
Functional: PBE-GGA
Structure: optimized geometry

The structure in CIF format:
```
data_ZnAs3Rh
_chemical_formula_sum 'Zn1 As3 Rh1'
_cell_length_a 4.707
_cell_length_b 4.707
_cell_length_c 4.707
_cell_angle_alpha 90.00
_cell_angle_beta 90.00
_cell_angle_gamma 90.00
_symmetry_space_group_name_H-M 'P m -3 m'
_symmetry_Int_Tables_number 221
_symmetry_space_group_name_Hall '-P 4 2 3'
loop_
_atom_site_label
_atom_site_fract_x
_atom_site_fract_y
_atom_site_fract_z
Zn1 0.000 0.000 0.000
As1 0.000 0.000 0.500
Rh1 0.500 0.500 0.500
```

Computed properties:
M_tot ... 0.0000 μB per atom
E above lowest polymorph ... 433 meV per atom



Compound: ZnAsRh3
Source: Alexandria via LeMat-Bulk
Functional: PBE-GGA
Structure: optimized geometry

The structure in CIF format:
```
data_ZnAsRh3
_chemical_formula_sum 'Zn1 As1 Rh3'
_cell_length_a 4.517
_cell_length_b 4.517
_cell_length_c 4.517
_cell_angle_alpha 90.00
_cell_angle_beta 90.00
_cell_angle_gamma 90.00
_symmetry_space_group_name_H-M 'P m -3 m'
_symmetry_Int_Tables_number 221
_symmetry_space_group_name_Hall '-P 4 2 3'
loop_
_atom_site_label
_atom_site_fract_x
_atom_site_fract_y
_atom_site_fract_z
Zn1 0.000 0.000 0.000
As1 0.500 0.500 0.500
Rh1 0.000 0.500 0.500
```

Computed properties:
M_tot ... 0.0000 μB per atom
E above lowest polymorph ... 0 meV per atom